# 1
A relaxed HoErNi2 crystal, computed with GGA-PBE.

* raw total energy: -5.554 eV/atom
* ΔH_f (0 K): -485 meV/atom
* space-group type: Pmc2_1, No. 26
* total magnetic moment: 0.0 Bohr magnetons per cell

a = 4.1492 Å, b = 5.3832 Å, c = 7.0025 Å
α = 90.00°, β = 90.00°, γ = 90.00°
Fractional positions:
Ni: 0.5000 0.1253 0.4620
Ni: 0.5000 0.8747 0.9620
Ni: 0.0000 0.3746 0.5379
Ni: 0.0000 0.6254 0.0379
Er: 0.0000 0.8802 0.6798
Er: 0.0000 0.1198 0.1798
Ho: 0.5000 0.3801 0.8203
Ho: 0.5000 0.6199 0.3203


# 2
A relaxed BePdSO crystal, computed with GGA-PBE.

* raw total energy: -5.247 eV/atom
* space-group type: Pca2_1, No. 29
* relative energy among the computed polymorphs: 380 meV/atom

a = 6.1064 Å, b = 6.2023 Å, c = 5.6608 Å
α = 90.00°, β = 90.00°, γ = 90.00°
Fractional positions:
Pd: 0.0056 0.9858 0.9029
Pd: 0.5056 0.0142 0.9029
Pd: 0.9944 0.0142 0.4029
Pd: 0.4944 0.9858 0.4029
Be: 0.0914 0.6188 0.5502
Be: 0.9086 0.3812 0.0502
Be: 0.4086 0.6188 0.0502
Be: 0.5914 0.3812 0.5502
S: 0.5792 0.3319 0.1549
S: 0.0792 0.6681 0.1549
S: 0.9208 0.3319 0.6549
S: 0.4208 0.6681 0.6549
O: 0.4262 0.2131 0.6420
O: 0.5738 0.7869 0.1420
O: 0.0738 0.2131 0.1420
O: 0.9262 0.7869 0.6420


# 3
A relaxed LiSiAg crystal, computed with GGA-PBE.

* raw total energy: -3.310 eV/atom
* space-group type: F-43m, No. 216
* relative energy among the computed polymorphs: 206 meV/atom

a = 4.2176 Å, b = 4.2176 Å, c = 4.2176 Å
α = 60.00°, β = 60.00°, γ = 60.00°
Fractional positions:
Ag: 0.0000 0.0000 0.0000
Si: 0.7500 0.7500 0.7500
Li: 0.2500 0.2500 0.2500


# 4
A relaxed TmAg2SbO6 crystal, computed with GGA-PBE.

* raw total energy: -5.749 eV/atom
* space-group type: C2/c, No. 15
* total magnetic moment: 0.0 Bohr magnetons per cell

a = 5.7830 Å, b = 5.7830 Å, c = 9.4683 Å
α = 106.81°, β = 106.81°, γ = 58.82°
Fractional positions:
O: 0.2582 0.3980 0.5902
O: 0.6848 0.1543 0.4389
O: 0.9336 0.7638 0.1914
O: 0.7638 0.9336 0.6914
O: 0.8457 0.3152 0.0611
O: 0.6020 0.7418 0.9098
O: 0.2362 0.0664 0.3086
O: 0.3152 0.8457 0.5611
O: 0.3980 0.2582 0.0902
O: 0.0664 0.2362 0.8086
O: 0.7418 0.6020 0.4098
O: 0.1543 0.6848 0.9389
Tm: 0.2102 0.7898 0.7500
Tm: 0.7899 0.2102 0.2500
Sb: 0.0000 0.5000 0.0000
Sb: 0.5000 0.0000 0.5000
Ag: 0.1384 0.5875 0.3902
Ag: 0.4125 0.8616 0.1098
Ag: 0.8616 0.4125 0.6098
Ag: 0.5875 0.1384 0.8902


# 5
A relaxed DyHoSiGeOs crystal, computed with GGA-PBE.

* raw total energy: -6.896 eV/atom
* space-group type: C2/m, No. 12
* relative energy among the computed polymorphs: 0 meV/atom
* total magnetic moment: 0.0 Bohr magnetons per cell

a = 5.7338 Å, b = 5.7338 Å, c = 10.1190 Å
α = 116.19°, β = 116.19°, γ = 43.25°
Fractional positions:
Ge: 0.5125 0.5125 0.8742
Ge: 0.4875 0.4875 0.1258
Si: 0.3565 0.3565 0.4404
Si: 0.6435 0.6435 0.5596
Ho: 0.0060 0.0060 0.6731
Ho: 0.9940 0.9940 0.3269
Dy: 0.1863 0.1863 0.1164
Dy: 0.8137 0.8137 0.8836
Os: 0.7335 0.7335 0.3761
Os: 0.2665 0.2665 0.6239


# 6
A relaxed Li2Cd2Sn2PdPt crystal, computed with GGA-PBE.

* raw total energy: -3.571 eV/atom
* space-group type: P-4m2, No. 115
* total magnetic moment: 0.0 Bohr magnetons per cell

a = 4.6467 Å, b = 4.6467 Å, c = 6.5645 Å
α = 90.00°, β = 90.00°, γ = 90.00°
Fractional positions:
Cd: 0.5000 0.0000 0.2502
Cd: 0.0000 0.5000 0.7498
Li: 0.0000 0.0000 0.5000
Li: 0.5000 0.5000 0.0000
Pt: 0.5000 0.5000 0.5000
Sn: 0.0000 0.5000 0.2493
Sn: 0.5000 0.0000 0.7507
Pd: 0.0000 0.0000 0.0000


# 7
A relaxed TlCu2Se2S crystal, computed with GGA-PBE.

* raw total energy: -3.700 eV/atom
* space-group type: Cc, No. 9

a = 6.9832 Å, b = 6.9832 Å, c = 6.9390 Å
α = 99.49°, β = 99.49°, γ = 119.90°
Fractional positions:
Tl: 0.5565 0.7413 0.9004
Tl: 0.7413 0.5565 0.4004
Se: 0.5849 0.3836 0.9839
Se: 0.2177 0.7646 0.0204
Se: 0.7646 0.2177 0.5204
Se: 0.3836 0.5849 0.4839
Cu: 0.1916 0.0458 0.8711
Cu: 0.0458 0.1916 0.3711
Cu: 0.8967 0.3682 0.8893
Cu: 0.3682 0.8967 0.3893
S: 0.9635 0.1237 0.0249
S: 0.1237 0.9635 0.5249


# 8
A relaxed HoAgTePbS2 crystal, computed with GGA-PBE.

* raw total energy: -4.642 eV/atom
* space-group type: Cmcm, No. 63
* total magnetic moment: 0.0 Bohr magnetons per cell

a = 7.3375 Å, b = 7.3375 Å, c = 11.1358 Å
α = 90.00°, β = 90.00°, γ = 147.81°
Fractional positions:
Ho: 0.0000 0.0000 0.5000
Ho: 0.0000 0.0000 0.0000
S: 0.6236 0.3764 0.5631
S: 0.6236 0.3764 0.9369
S: 0.3764 0.6236 0.0631
S: 0.3764 0.6236 0.4369
Pb: 0.2090 0.7910 0.7500
Pb: 0.7910 0.2090 0.2500
Te: 0.1134 0.8866 0.2500
Te: 0.8866 0.1134 0.7500
Ag: 0.5229 0.4771 0.7500
Ag: 0.4771 0.5229 0.2500


Copy entry 2 word for word.
A relaxed BePdSO crystal, computed with GGA-PBE.

* raw total energy: -5.247 eV/atom
* space-group type: Pca2_1, No. 29
* relative energy among the computed polymorphs: 380 meV/atom

a = 6.1064 Å, b = 6.2023 Å, c = 5.6608 Å
α = 90.00°, β = 90.00°, γ = 90.00°
Fractional positions:
Pd: 0.0056 0.9858 0.9029
Pd: 0.5056 0.0142 0.9029
Pd: 0.9944 0.0142 0.4029
Pd: 0.4944 0.9858 0.4029
Be: 0.0914 0.6188 0.5502
Be: 0.9086 0.3812 0.0502
Be: 0.4086 0.6188 0.0502
Be: 0.5914 0.3812 0.5502
S: 0.5792 0.3319 0.1549
S: 0.0792 0.6681 0.1549
S: 0.9208 0.3319 0.6549
S: 0.4208 0.6681 0.6549
O: 0.4262 0.2131 0.6420
O: 0.5738 0.7869 0.1420
O: 0.0738 0.2131 0.1420
O: 0.9262 0.7869 0.6420